Entry from Alexandria: an optimized crystal structure of CdGaIr2 (GGA-PBE).

Calculated values
raw total energy = -5.0394 eV/atom
formation enthalpy at 0 K = 0.38 eV per atom

POSCAR file:
```
CdGaIr2
1.0
-1.4379 3.3999 1.7476
-3.5553 -0.5032 -1.9462
-5.5626 -3.3672 6.7466
Ga Cd Ir
2 2 4
Direct
0.5000 0.5000 0.0000
0.2500 0.7500 0.5000
0.7500 0.2500 0.5000
0.0000 0.0000 0.0000
0.5558 0.1250 0.2500
0.1942 0.6250 0.2500
0.8750 0.8058 0.7500
0.3750 0.4442 0.7500
```



Entry from Alexandria: an optimized crystal structure of Cd2Ga2Ir (GGA-PBE).

Calculated values
raw total energy = -3.2826 eV/atom
polymorph energy (0 for the lowest one) = 0.00 eV per formula unit
formation enthalpy at 0 K = 0.07 eV per atom

POSCAR file:
```
Cd2Ga2Ir
1.0
-5.8633 2.9561 -0.3150
-1.7153 -3.9330 -4.9805
-1.6053 -2.8825 2.8291
Ga Cd Ir
4 4 2
Direct
0.1410 0.3590 0.0000
0.8590 0.6410 0.0000
0.6410 0.1410 0.0000
0.3590 0.8590 0.0000
0.8277 0.3277 0.5000
0.6723 0.8277 0.5000
0.3277 0.1723 0.5000
0.1723 0.6723 0.5000
0.5000 0.5000 0.0000
0.0000 0.0000 0.0000
```



Entry from Alexandria: an optimized crystal structure of CdGa4Ir5 (GGA-PBE).

Calculated values
raw total energy = -6.0485 eV/atom
formation enthalpy at 0 K = -0.32 eV per atom

POSCAR file:
```
CdGa4Ir5
1.0
3.0479 0.0000 0.0000
0.0000 3.0479 0.0000
0.0000 0.0000 16.0163
Ga Ir Cd
4 5 1
Direct
0.0000 0.0000 0.2081
0.0000 0.0000 0.7919
0.0000 0.0000 0.4032
0.0000 0.0000 0.5968
0.5000 0.5000 0.1233
0.5000 0.5000 0.3108
0.5000 0.5000 0.8767
0.5000 0.5000 0.5000
0.5000 0.5000 0.6892
0.0000 0.0000 0.0000
```



Entry from Alexandria: an optimized crystal structure of CdGaIr2 (GGA-PBE).

Calculated values
raw total energy = -5.4924 eV/atom
formation enthalpy at 0 K = -0.08 eV per atom

POSCAR file:
```
CdGaIr2
1.0
2.8779 0.0000 0.0000
1.4389 2.4923 0.0000
1.4389 0.8308 8.8521
Ir Cd Ga
2 1 1
Direct
0.7410 0.7410 0.7768
0.2590 0.2590 0.2232
0.5000 0.5000 0.5000
0.0000 0.0000 0.0000
```



Entry from Alexandria: an optimized crystal structure of CdGa3Ir (GGA-PBE).

Calculated values
raw total energy = -3.9360 eV/atom
polymorph energy (0 for the lowest one) = 0.00 eV per formula unit
formation enthalpy at 0 K = -0.16 eV per atom

POSCAR file:
```
CdGa3Ir
1.0
4.8690 0.0000 0.0000
0.0000 4.8690 0.0000
0.0000 0.0000 4.8690
Ga Cd Ir
3 1 1
Direct
0.0000 0.0000 0.5000
0.0000 0.5000 0.0000
0.5000 0.0000 0.0000
0.5000 0.5000 0.5000
0.0000 0.0000 0.0000
```



Entry from Alexandria: an optimized crystal structure of LaCdGa2Ir (GGA-PBE).

Calculated values
raw total energy = -4.5501 eV/atom
formation enthalpy at 0 K = -0.40 eV per atom

POSCAR file:
```
LaCdGa2Ir
1.0
4.9005 0.0000 0.0000
0.0000 4.9005 0.0000
0.0000 0.0000 5.4379
Ir Ga Cd La
1 2 1 1
Direct
0.0000 0.0000 0.0000
0.5000 0.0000 0.0000
0.0000 0.5000 0.0000
0.5000 0.5000 0.5000
0.0000 0.0000 0.5000
```



Entry from Alexandria: an optimized crystal structure of MgCdGa2Ir (GGA-PBE).

Calculated values
raw total energy = -3.6540 eV/atom
formation enthalpy at 0 K = -0.17 eV per atom

POSCAR file:
```
MgCdGa2Ir
1.0
4.8068 0.0000 0.0000
0.0000 4.8068 0.0000
0.0000 0.0000 5.1201
Ga Mg Ir Cd
2 1 1 1
Direct
0.5000 0.0000 0.0000
0.0000 0.5000 0.0000
0.0000 0.0000 0.5000
0.0000 0.0000 0.0000
0.5000 0.5000 0.5000
```



Entry from Alexandria: an optimized crystal structure of Cd2GaMoIr (GGA-PBE).

Calculated values
raw total energy = -4.0280 eV/atom
formation enthalpy at 0 K = 0.88 eV per atom

POSCAR file:
```
Cd2GaMoIr
1.0
-0.1347 5.1410 -0.5511
-2.8642 0.3232 3.7155
4.0998 0.4421 3.1221
Ir Mo Cd Ga
1 1 2 1
Direct
0.0000 0.0000 0.0000
0.5000 0.5000 0.5000
0.0000 0.0000 0.5000
0.5000 0.0000 0.0000
0.0000 0.5000 0.0000
```



Entry from Alexandria: an optimized crystal structure of Nb2CdGaIr (GGA-PBE).

Calculated values
raw total energy = -5.3766 eV/atom
formation enthalpy at 0 K = 1.21 eV per atom

POSCAR file:
```
Nb2CdGaIr
1.0
4.7586 0.0000 0.0000
0.0000 4.5734 0.0000
0.0000 0.0000 4.7586
Nb Cd Ir Ga
2 1 1 1
Direct
0.5000 0.0000 0.0000
0.0000 0.0000 0.5000
0.0000 0.5000 0.0000
0.5000 0.5000 0.5000
0.0000 0.0000 0.0000
```



Entry from Alexandria: an optimized crystal structure of Nd2CdGa4Ir3 (GGA-PBE).

Calculated values
raw total energy = -5.4899 eV/atom
formation enthalpy at 0 K = -0.58 eV per atom

POSCAR file:
```
Nd2CdGa4Ir3
1.0
-4.2193 0.2834 0.3368
0.2629 -0.9818 4.1186
0.9090 10.5989 2.4685
Ga Ir Nd Cd
4 3 2 1
Direct
0.5000 0.5000 0.0000
0.0000 0.5000 0.3571
0.5000 0.0000 0.6429
0.0000 0.0000 0.0000
0.0000 0.5000 0.1287
0.0000 0.0000 0.5000
0.5000 0.0000 0.8713
0.0000 0.5000 0.7623
0.5000 0.0000 0.2377
0.5000 0.5000 0.5000
```



Entry from Alexandria: an optimized crystal structure of CdGaNiIr (GGA-PBE).

Calculated values
raw total energy = -4.6923 eV/atom
formation enthalpy at 0 K = -0.05 eV per atom

POSCAR file:
```
CdGaNiIr
1.0
-0.2118 -3.8646 -2.0830
2.9865 -1.0129 -3.0617
3.0104 -3.0993 0.8068
Cd Ir Ga Ni
1 1 1 1
Direct
0.7500 0.7500 0.7500
0.0000 0.0000 0.0000
0.2500 0.2500 0.2500
0.5000 0.5000 0.5000
```



Entry from Alexandria: an optimized crystal structure of Pr2CdGa4Ir3 (GGA-PBE).

Calculated values
raw total energy = -5.4893 eV/atom
formation enthalpy at 0 K = -0.57 eV per atom

POSCAR file:
```
Pr2CdGa4Ir3
1.0
4.2652 0.0000 0.0000
0.0000 4.2652 0.0000
0.0000 0.0000 10.8955
Pr Ga Ir Cd
2 4 3 1
Direct
0.5000 0.0000 0.2381
0.0000 0.5000 0.7619
0.0000 0.0000 0.0000
0.0000 0.5000 0.3575
0.5000 0.0000 0.6425
0.5000 0.5000 0.0000
0.0000 0.5000 0.1279
0.5000 0.0000 0.8721
0.0000 0.0000 0.5000
0.5000 0.5000 0.5000
```



- Among the records above, which one has the lowest formation enthalpy at 0 K?
  Nd2CdGa4Ir3